Record 1
# Tb3Si6Pd20 | Alexandria via LeMat-Bulk | PBE | optimized geometry
data_Tb3Si6Pd20
_cell_length_a 12.325
_cell_length_b 12.325
_cell_length_c 12.325
_cell_angle_alpha 90.00
_cell_angle_beta 90.00
_cell_angle_gamma 90.00
_symmetry_space_group_name_H-M 'F m -3 m'
_symmetry_Int_Tables_number 225
_symmetry_space_group_name_Hall '-F 4 2 3'
loop_
_atom_site_label
_atom_site_fract_x
_atom_site_fract_y
_atom_site_fract_z
_atom_site_occupancy
Tb1 0.000 0.000 0.000 1
Tb2 0.250 0.250 0.250 1
Si1 0.000 0.000 0.267 1
Pd1 0.000 0.173 0.173 1
Pd2 0.116 0.116 0.384 1
# Magnetic moment, μB per cell: 0.0
# DOS at the Fermi energy, states/eV/atom: 0.244
# Raw total energy, eV per formula unit: -174.1
# Formation energy without anion corrections, eV/f.u.: -23.78



Record 2
# Ac8P3OsI4 | Alexandria via LeMat-Bulk | PBE | optimized geometry
data_Ac8P3OsI4
_cell_length_a 8.9586
_cell_length_b 8.9586
_cell_length_c 24.5218
_cell_angle_alpha 90.00
_cell_angle_beta 90.00
_cell_angle_gamma 120.00
_symmetry_space_group_name_H-M 'R -3 m'
_symmetry_Int_Tables_number 166
_symmetry_space_group_name_Hall '-R 3 2"'
loop_
_atom_site_label
_atom_site_fract_x
_atom_site_fract_y
_atom_site_fract_z
_atom_site_occupancy
Ac1 0.0000 0.0000 0.2323 1
Ac2 0.0115 0.5058 0.2306 1
P1 0.0000 0.5000 0.5000 1
Os1 0.0000 0.0000 0.5000 1
I1 0.0000 0.0000 0.0000 1
I2 0.0000 0.5000 0.0000 1
# Magnetic moment, μB per cell: 0.0
# DOS at the Fermi energy, states/eV/atom: 0.801
# Raw total energy, eV per formula unit: -84.4
# Formation energy without anion corrections, eV/f.u.: -17.91



Record 3
# Be2NiBr | Alexandria via LeMat-Bulk | PBE | optimized geometry
data_Be2NiBr
_cell_length_a 4.164
_cell_length_b 3.049
_cell_length_c 4.424
_cell_angle_alpha 90.00
_cell_angle_beta 113.77
_cell_angle_gamma 90.00
_symmetry_space_group_name_H-M 'P 1 2/m 1'
_symmetry_Int_Tables_number 10
loop_
_symmetry_equiv_pos_as_xyz
'x,y,z'
'-x,-y,-z'
'-x,y,-z'
'x,-y,z'
loop_
_atom_site_label
_atom_site_fract_x
_atom_site_fract_y
_atom_site_fract_z
_atom_site_occupancy
Be1 0.000 0.000 0.000 1
Be2 0.000 0.500 0.500 1
Ni1 0.500 0.000 0.500 1
Br1 0.500 0.500 0.000 1
# Magnetic moment, μB per cell: 0.0
# Energy relative to the lowest polymorph listed for this composition, eV per atom: 0.562
# DOS at the Fermi energy, states/eV/atom: 0.525
# Raw total energy, eV per formula unit: -12.4
# Formation energy without anion corrections, eV/f.u.: 2.50



Record 4
# ErPu2Pb3 | Alexandria via LeMat-Bulk | PBE | optimized geometry
data_ErPu2Pb3
_cell_length_a 3.475
_cell_length_b 3.475
_cell_length_c 13.811
_cell_angle_alpha 90.00
_cell_angle_beta 90.00
_cell_angle_gamma 90.00
_symmetry_space_group_name_H-M 'P 4/m m m'
_symmetry_Int_Tables_number 123
_symmetry_space_group_name_Hall '-P 4 2'
loop_
_atom_site_label
_atom_site_fract_x
_atom_site_fract_y
_atom_site_fract_z
_atom_site_occupancy
Er1 0.000 0.000 0.000 1
Pu1 0.000 0.000 0.331 1
Pb1 0.500 0.500 0.162 1
Pb2 0.500 0.500 0.500 1
# Formation energy from the elements, eV per formula unit: -1.5
# Magnetic moment, μB per cell: 12.0
# DOS at the Fermi energy, states/eV/atom: 2.775
# Raw total energy, eV per formula unit: -45.8



Record 5
# SiPAu2 | Alexandria via LeMat-Bulk | PBE | optimized geometry
data_SiPAu2
_cell_length_a 3.370
_cell_length_b 5.274
_cell_length_c 7.815
_cell_angle_alpha 90.00
_cell_angle_beta 90.00
_cell_angle_gamma 90.00
_symmetry_space_group_name_H-M 'C m m 2'
_symmetry_Int_Tables_number 35
loop_
_symmetry_equiv_pos_as_xyz
'x,y,z'
'-x,-y,z'
'-x,y,z'
'x,-y,z'
'x+1/2,y+1/2,z'
'-x+1/2,-y+1/2,z'
'-x+1/2,y+1/2,z'
'x+1/2,-y+1/2,z'
loop_
_atom_site_label
_atom_site_fract_x
_atom_site_fract_y
_atom_site_fract_z
_atom_site_occupancy
Si1 0.000 0.000 0.000 1
P1 0.000 0.500 0.794 1
Au1 0.000 0.000 0.534 1
Au2 0.000 0.500 0.242 1
# Magnetic moment, μB per cell: 0.0
# Energy relative to the lowest polymorph listed for this composition, eV per atom: 0.265
# DOS at the Fermi energy, states/eV/atom: 0.331
# Raw total energy, eV per formula unit: -16.1
# Formation energy without anion corrections, eV/f.u.: 1.30



Record 6
# Na2Zn2Pt | Alexandria via LeMat-Bulk | PBE | optimized geometry
data_Na2Zn2Pt
_cell_length_a 6.566
_cell_length_b 6.566
_cell_length_c 4.857
_cell_angle_alpha 90.00
_cell_angle_beta 90.00
_cell_angle_gamma 90.00
_symmetry_space_group_name_H-M 'P 4/m b m'
_symmetry_Int_Tables_number 127
_symmetry_space_group_name_Hall '-P 4 2ab'
loop_
_atom_site_label
_atom_site_fract_x
_atom_site_fract_y
_atom_site_fract_z
_atom_site_occupancy
Na1 0.183 0.317 0.000 1
Zn1 0.142 0.642 0.500 1
Pt1 0.000 0.000 0.500 1
# Formation energy from the elements, eV per formula unit: -0.9
# Magnetic moment, μB per cell: 0.0
# Energy relative to the lowest polymorph listed for this composition, eV per atom: 0.030
# DOS at the Fermi energy, states/eV/atom: 0.349
# Raw total energy, eV per formula unit: -12.1



Record 7
# Mg2Pd2Au7 | Alexandria via LeMat-Bulk | PBE | optimized geometry
data_Mg2Pd2Au7
_cell_length_a 12.400
_cell_length_b 8.411
_cell_length_c 4.069
_cell_angle_alpha 90.00
_cell_angle_beta 109.04
_cell_angle_gamma 90.00
_symmetry_space_group_name_H-M 'C 1 2/m 1'
_symmetry_Int_Tables_number 12
loop_
_symmetry_equiv_pos_as_xyz
'x,y,z'
'-x,-y,-z'
'-x,y,-z'
'x,-y,z'
'x+1/2,y+1/2,z'
'-x+1/2,-y+1/2,-z'
'-x+1/2,y+1/2,-z'
'x+1/2,-y+1/2,z'
loop_
_atom_site_label
_atom_site_fract_x
_atom_site_fract_y
_atom_site_fract_z
_atom_site_occupancy
Mg1 0.173 0.000 0.171 1
Pd1 0.000 0.234 0.000 1
Au1 0.000 0.000 0.500 1
Au2 0.144 0.500 0.145 1
Au3 0.164 0.253 0.664 1
# Formation energy from the elements, eV per formula unit: -3.4
# Magnetic moment, μB per cell: 0.0
# Energy relative to the lowest polymorph listed for this composition, eV per atom: 0.000
# DOS at the Fermi energy, states/eV/atom: 0.283
# Raw total energy, eV per formula unit: -39.9



Record 8
# Sc2TlPt | Alexandria via LeMat-Bulk | PBE | optimized geometry
data_Sc2TlPt
_cell_length_a 6.706
_cell_length_b 6.730
_cell_length_c 3.607
_cell_angle_alpha 90.00
_cell_angle_beta 90.00
_cell_angle_gamma 90.00
_symmetry_space_group_name_H-M 'C m m m'
_symmetry_Int_Tables_number 65
_symmetry_space_group_name_Hall '-C 2 2'
loop_
_atom_site_label
_atom_site_fract_x
_atom_site_fract_y
_atom_site_fract_z
_atom_site_occupancy
Sc1 0.250 0.250 0.000 1
Tl1 0.000 0.000 0.500 1
Pt1 0.000 0.500 0.500 1
# Formation energy from the elements, eV per formula unit: -2.7
# Magnetic moment, μB per cell: 0.0
# DOS at the Fermi energy, states/eV/atom: 0.749
# Raw total energy, eV per formula unit: -23.8



Record 9
# TeHRuN2 | Alexandria via LeMat-Bulk | PBE | optimized geometry
data_TeHRuN2
_cell_length_a 3.948
_cell_length_b 3.948
_cell_length_c 3.515
_cell_angle_alpha 90.00
_cell_angle_beta 90.00
_cell_angle_gamma 90.00
_symmetry_space_group_name_H-M 'P 4/m m m'
_symmetry_Int_Tables_number 123
_symmetry_space_group_name_Hall '-P 4 2'
loop_
_atom_site_label
_atom_site_fract_x
_atom_site_fract_y
_atom_site_fract_z
_atom_site_occupancy
Te1 0.000 0.000 0.000 1
H1 0.000 0.000 0.500 1
Ru1 0.500 0.500 0.000 1
N1 0.000 0.500 0.500 1
# Magnetic moment, μB per cell: 0.0
# Energy relative to the lowest polymorph listed for this composition, eV per atom: 0.988
# DOS at the Fermi energy, states/eV/atom: 1.053
# Raw total energy, eV per formula unit: -22.4



Record 10
# YZrW2 | Alexandria via LeMat-Bulk | PBE | optimized geometry
data_YZrW2
_cell_length_a 3.1764
_cell_length_b 3.1764
_cell_length_c 28.8610
_cell_angle_alpha 90.00
_cell_angle_beta 90.00
_cell_angle_gamma 120.00
_symmetry_space_group_name_H-M 'R 3 m'
_symmetry_Int_Tables_number 160
_symmetry_space_group_name_Hall 'R 3 -2"'
loop_
_atom_site_label
_atom_site_fract_x
_atom_site_fract_y
_atom_site_fract_z
_atom_site_occupancy
Y1 0.0000 0.0000 0.0000 1
Zr1 0.0000 0.0000 0.2312 1
W1 0.0000 0.0000 0.4857 1
W2 0.0000 0.0000 0.7536 1
# Formation energy from the elements, eV per formula unit: 1.8
# Magnetic moment, μB per cell: 0.0
# Energy relative to the lowest polymorph listed for this composition, eV per atom: 0.253
# DOS at the Fermi energy, states/eV/atom: 1.232
# Raw total energy, eV per formula unit: -39.1



Record 11
# CsZr2Te2 | Alexandria via LeMat-Bulk | PBE | optimized geometry
data_CsZr2Te2
_cell_length_a 4.356
_cell_length_b 4.356
_cell_length_c 17.580
_cell_angle_alpha 90.00
_cell_angle_beta 90.00
_cell_angle_gamma 90.00
_symmetry_space_group_name_H-M 'I 4/m m m'
_symmetry_Int_Tables_number 139
_symmetry_space_group_name_Hall '-I 4 2'
loop_
_atom_site_label
_atom_site_fract_x
_atom_site_fract_y
_atom_site_fract_z
_atom_site_occupancy
Cs1 0.000 0.000 0.000 1
Zr1 0.000 0.500 0.250 1
Te1 0.000 0.000 0.366 1
# Magnetic moment, μB per cell: 2.4
# DOS at the Fermi energy, states/eV/atom: 0.859
# Raw total energy, eV per formula unit: -27.9
# Formation energy without anion corrections, eV/f.u.: -3.66



Record 12
# K2Pb5Cl12 | Alexandria via LeMat-Bulk | PBE | optimized geometry
data_K2Pb5Cl12
_cell_length_a 15.760
_cell_length_b 8.711
_cell_length_c 9.991
_cell_angle_alpha 90.00
_cell_angle_beta 114.15
_cell_angle_gamma 90.00
_symmetry_space_group_name_H-M 'C 1 2/m 1'
_symmetry_Int_Tables_number 12
loop_
_symmetry_equiv_pos_as_xyz
'x,y,z'
'-x,-y,-z'
'-x,y,-z'
'x,-y,z'
'x+1/2,y+1/2,z'
'-x+1/2,-y+1/2,-z'
'-x+1/2,y+1/2,-z'
'x+1/2,-y+1/2,z'
loop_
_atom_site_label
_atom_site_fract_x
_atom_site_fract_y
_atom_site_fract_z
_atom_site_occupancy
K1 0.000 0.229 0.000 1
Pb1 0.000 0.000 0.500 1
Pb2 0.186 0.500 0.383 1
Pb3 0.226 0.500 0.956 1
Cl1 0.012 0.500 0.805 1
Cl2 0.085 0.000 0.839 1
Cl3 0.134 0.210 0.473 1
Cl4 0.207 0.290 0.152 1
# Magnetic moment, μB per cell: 0.0
# DOS at the Fermi energy, states/eV/atom: 0.000
# Raw total energy, eV per formula unit: -67.4
# Formation energy without anion corrections, eV/f.u.: -24.48